(1)
La2TaFe: optimized geometry, GGA-PBEsol.

Properties
The energy above the most stable polymorph in this dataset comes out at 7.5 kJ/mol of atoms. For the energy of formation from the pure elements, the calculation gives 0.696 eV/atom.

Cell: 3.3315 3.3315 27.6964 Å, 90.00 90.00 120.00°
Space group R-3m (No. 166, hexagonal axes)
Symmetry-distinct sites (fractional):
La (0.0000, 0.0000, 0.2404) (multiplicity 6)
Ta (0.0000, 0.0000, 0.0000) (multiplicity 3)
Fe (0.0000, 0.0000, 0.5000) (multiplicity 3)

***

(2)
Li3Fe3SiO8: optimized geometry, GGA-PBEsol.

Properties
For the formation energy (no corrections), the calculation gives -1819 meV per atom.

Cell: 4.763 5.528 5.034 Å, 90.00 108.92 90.00°
Space group P2/m (No. 10)
Symmetry-distinct sites (fractional):
Li (0.000, 0.000, 0.000) (multiplicity 1)
Li (0.500, 0.260, 0.000) (multiplicity 2)
Fe (0.000, 0.248, 0.500) (multiplicity 2)
Fe (0.500, 0.000, 0.500) (multiplicity 1)
Si (0.500, 0.500, 0.500) (multiplicity 1)
O (0.244, 0.000, 0.726) (multiplicity 2)
O (0.261, 0.500, 0.705) (multiplicity 2)
O (0.274, 0.262, 0.290) (multiplicity 4)

***

(3)
InHgPb2: optimized geometry, GGA-PBEsol.

Properties
The energy above the most stable polymorph in this dataset comes out at 2.3 kJ/mol of atoms. For the energy of formation from the pure elements, the calculation gives 0.023 eV/atom.

Cell: 3.626 5.576 10.710 Å, 90.00 90.00 90.00°
Space group Immm (No. 71)
Symmetry-distinct sites (fractional):
In (0.000, 0.000, 0.000) (multiplicity 2)
Hg (0.000, 0.000, 0.500) (multiplicity 2)
Pb (0.000, 0.500, 0.244) (multiplicity 4)

***

(4)
Tc2AgTe: optimized geometry, GGA-PBEsol.

Properties
For the formation energy (no corrections), the calculation gives 432 meV per atom.

Cell: 2.9327 2.9327 27.9472 Å, 90.00 90.00 120.00°
Space group R3m (No. 160, hexagonal axes)
Symmetry-distinct sites (fractional):
Tc (0.0000, 0.0000, 0.0000) (multiplicity 3)
Tc (0.0000, 0.0000, 0.2644) (multiplicity 3)
Ag (0.0000, 0.0000, 0.5140) (multiplicity 3)
Te (0.0000, 0.0000, 0.7479) (multiplicity 3)

***

(5)
KCd2Ag: optimized geometry, GGA-PBEsol.

Properties
The energy above the most stable polymorph in this dataset comes out at 13.4 kJ/mol of atoms. For the energy of formation from the pure elements, the calculation gives 0.170 eV/atom.

Cell: 3.1992 3.1992 31.3264 Å, 90.00 90.00 120.00°
Space group R-3m (No. 166, hexagonal axes)
Symmetry-distinct sites (fractional):
K (0.0000, 0.0000, 0.0000) (multiplicity 3)
Cd (0.0000, 0.0000, 0.2382) (multiplicity 6)
Ag (0.0000, 0.0000, 0.5000) (multiplicity 3)

***

(6)
ZnTe4Br: optimized geometry, GGA-PBEsol.

Properties
For the formation energy (no corrections), the calculation gives 306 meV per atom.

Cell: 8.795 8.795 8.795 Å, 90.00 90.00 90.00°
Space group F-43m (No. 216)
Symmetry-distinct sites (fractional):
Zn (0.000, 0.000, 0.000) (multiplicity 4)
Te (0.126, 0.126, 0.626) (multiplicity 16)
Br (0.250, 0.250, 0.250) (multiplicity 4)